# CrCdCu3Se4

CrCdCu3Se4 after structural relaxation (PBE, Alexandria).

Output
Raw formation energy: -0.2300 eV/atom
Crystal system: cubic

abc: 5.847 5.847 5.847
angles: 90.00 90.00 90.00
Space group P-43m (No. 215)
Symmetry-distinct sites (fractional):
Cr 0.000 0.000 0.000 x1
Cd 0.500 0.500 0.500 x1
Cu 0.000 0.000 0.500 x3
Se 0.237 0.237 0.237 x4

---

# DyLuCrCd

DyLuCrCd after structural relaxation (PBE, Alexandria).

Output
Formation energy from the elements: 0.032 eV per atom
Crystal system: cubic

abc: 7.262 7.262 7.262
angles: 90.00 90.00 90.00
Space group F-43m (No. 216)
Symmetry-distinct sites (fractional):
Dy 0.000 0.000 0.000 x4
Lu 0.000 0.000 0.500 x4
Cr 0.250 0.250 0.250 x4
Cd 0.250 0.250 0.750 x4

---

no.,DOS(E_F) (states/eV/f.u.),final energy (eV/cell),magnetic moment (μB/f.u.)
1,2.74,-38.84,3.0
2,2.08,-78.13,3.6